No. 1
# PBE Be2IrPd, optimized geometry
data_Be2IrPd
_space_group_name_H-M_alt 'P 1'
_space_group_IT_number 1
_space_group_name_Hall 'P 1'
_cell_length_a 4.122
_cell_length_b 4.122
_cell_length_c 4.122
_cell_angle_alpha 60.00
_cell_angle_beta 60.00
_cell_angle_gamma 60.00
loop_
_atom_site_label
_atom_site_type_symbol
_atom_site_fract_x
_atom_site_fract_y
_atom_site_fract_z
Ir1 Ir 0.250 0.250 0.250
Be1 Be 0.000 0.000 0.000
Pd1 Pd 0.500 0.500 0.500
Be2 Be 0.750 0.750 0.750
# E above lowest polymorph   675 meV per atom
# Total magnetic moment   0.00 μB per formula unit
# Symmetry   F-43m (216)
# Energy   -5.346 eV per atom


No. 2
# PBE Be2IrPd, optimized geometry
data_Be2IrPd
_space_group_name_H-M_alt 'P 1'
_space_group_IT_number 1
_space_group_name_Hall 'P 1'
_cell_length_a 3.969
_cell_length_b 5.610
_cell_length_c 11.911
_cell_angle_alpha 90.00
_cell_angle_beta 90.00
_cell_angle_gamma 90.00
loop_
_atom_site_label
_atom_site_type_symbol
_atom_site_fract_x
_atom_site_fract_y
_atom_site_fract_z
Be1 Be 0.000 0.250 0.500
Be2 Be 0.499 0.750 0.667
Be3 Be 0.999 0.250 0.833
Be4 Be 0.999 0.750 0.833
Ir1 Ir 0.000 0.000 0.667
Ir2 Ir 0.000 0.000 0.333
Pd1 Pd 0.500 0.000 0.167
Be5 Be 0.501 0.750 0.333
Be6 Be 0.499 0.250 0.667
Ir3 Ir 0.500 0.500 0.167
Be7 Be 0.001 0.250 0.167
Pd2 Pd 0.000 0.500 0.333
Be8 Be 0.500 0.750 0.000
Be9 Be 0.000 0.750 0.500
Ir4 Ir 0.500 0.500 0.500
Be10 Be 0.001 0.750 0.167
Ir5 Ir 0.000 0.000 0.000
Pd3 Pd 0.000 0.500 0.000
Be11 Be 0.501 0.250 0.333
Pd4 Pd 0.000 0.500 0.667
Pd5 Pd 0.500 0.000 0.500
Ir6 Ir 0.500 0.500 0.833
Be12 Be 0.500 0.250 0.000
Pd6 Pd 0.500 0.000 0.833
# E above lowest polymorph   38 meV per atom
# Total magnetic moment   0.00 μB per formula unit
# Symmetry   Fm-3m (225)
# Energy   -5.983 eV per atom


No. 3
# PBE Be2IrPd, optimized geometry
data_Be2IrPd
_space_group_name_H-M_alt 'P 1'
_space_group_IT_number 1
_space_group_name_Hall 'P 1'
_cell_length_a 2.822
_cell_length_b 2.822
_cell_length_c 5.607
_cell_angle_alpha 90.00
_cell_angle_beta 90.00
_cell_angle_gamma 90.00
loop_
_atom_site_label
_atom_site_type_symbol
_atom_site_fract_x
_atom_site_fract_y
_atom_site_fract_z
Pd1 Pd 0.000 0.000 0.000
Be1 Be 0.500 0.500 0.270
Ir1 Ir 0.000 0.000 0.500
Be2 Be 0.500 0.500 0.730
# E above lowest polymorph   0 meV per atom
# Total magnetic moment   0.00 μB per formula unit
# Symmetry   P4/mmm (123)
# Energy   -6.021 eV per atom


No. 4
# PBE Be2IrPd, optimized geometry
data_Be2IrPd
_space_group_name_H-M_alt 'P 1'
_space_group_IT_number 1
_space_group_name_Hall 'P 1'
_cell_length_a 5.585
_cell_length_b 5.587
_cell_length_c 5.682
_cell_angle_alpha 90.00
_cell_angle_beta 90.00
_cell_angle_gamma 90.00
loop_
_atom_site_label
_atom_site_type_symbol
_atom_site_fract_x
_atom_site_fract_y
_atom_site_fract_z
Pd1 Pd 0.251 0.250 0.500
Pd2 Pd 0.749 0.750 0.500
Ir1 Ir 0.751 0.250 0.500
Ir2 Ir 0.249 0.750 0.500
Be1 Be 0.000 0.500 0.750
Pd3 Pd 0.751 0.750 0.000
Be2 Be 0.500 0.500 0.750
Ir3 Ir 0.251 0.750 0.000
Ir4 Ir 0.749 0.250 0.000
Be3 Be 0.500 0.000 0.250
Be4 Be 0.500 0.000 0.750
Be5 Be 0.000 0.000 0.750
Be6 Be 0.000 0.500 0.250
Be7 Be 0.000 0.000 0.250
Be8 Be 0.500 0.500 0.250
Pd4 Pd 0.249 0.250 0.000
# E above lowest polymorph   17 meV per atom
# Total magnetic moment   0.00 μB per formula unit
# Symmetry   Imma (74)
# Energy   -6.004 eV per atom


No. 5
# PBE Be2IrPd, optimized geometry
data_Be2IrPd
_space_group_name_H-M_alt 'P 1'
_space_group_IT_number 1
_space_group_name_Hall 'P 1'
_cell_length_a 5.611
_cell_length_b 3.969
_cell_length_c 7.940
_cell_angle_alpha 90.00
_cell_angle_beta 90.00
_cell_angle_gamma 90.00
loop_
_atom_site_label
_atom_site_type_symbol
_atom_site_fract_x
_atom_site_fract_y
_atom_site_fract_z
Be1 Be 0.000 0.750 0.125
Pd1 Pd 0.750 0.750 0.875
Be2 Be 0.000 0.250 0.375
Ir1 Ir 0.250 0.750 0.875
Pd2 Pd 0.750 0.750 0.375
Ir2 Ir 0.750 0.250 0.625
Ir3 Ir 0.750 0.250 0.125
Pd3 Pd 0.250 0.250 0.125
Be3 Be 0.500 0.250 0.375
Be4 Be 0.500 0.750 0.625
Be5 Be 0.000 0.750 0.625
Ir4 Ir 0.250 0.750 0.375
Pd4 Pd 0.250 0.250 0.625
Be6 Be 0.500 0.250 0.875
Be7 Be 0.000 0.250 0.875
Be8 Be 0.500 0.750 0.125
# E above lowest polymorph   39 meV per atom
# Total magnetic moment   0.00 μB per formula unit
# Symmetry   Fm-3m (225)
# Energy   -5.982 eV per atom


No. 6
# PBE Be2IrPd3, optimized geometry
data_Be2IrPd3
_space_group_name_H-M_alt 'P 1'
_space_group_IT_number 1
_space_group_name_Hall 'P 1'
_cell_length_a 2.759
_cell_length_b 2.759
_cell_length_c 9.864
_cell_angle_alpha 90.00
_cell_angle_beta 90.00
_cell_angle_gamma 90.00
loop_
_atom_site_label
_atom_site_type_symbol
_atom_site_fract_x
_atom_site_fract_y
_atom_site_fract_z
Ir1 Ir 0.000 0.000 0.357
Pd1 Pd 0.500 0.500 0.147
Pd2 Pd 0.500 0.500 0.858
Be1 Be 0.000 0.000 0.998
Pd3 Pd 0.000 0.000 0.644
Be2 Be 0.500 0.500 0.496
# Total magnetic moment   0.11 μB per formula unit
# Symmetry   P4mm (99)
# Energy   -5.718 eV per atom


No. 7
# PBE Be2Ir3Pd, optimized geometry
data_Be2Ir3Pd
_space_group_name_H-M_alt 'P 1'
_space_group_IT_number 1
_space_group_name_Hall 'P 1'
_cell_length_a 2.775
_cell_length_b 2.775
_cell_length_c 9.609
_cell_angle_alpha 90.00
_cell_angle_beta 90.00
_cell_angle_gamma 90.00
loop_
_atom_site_label
_atom_site_type_symbol
_atom_site_fract_x
_atom_site_fract_y
_atom_site_fract_z
Pd1 Pd 0.000 0.000 0.147
Ir1 Ir 0.000 0.000 0.849
Ir2 Ir 0.500 0.500 0.362
Ir3 Ir 0.500 0.500 0.647
Be1 Be 0.500 0.500 0.996
Be2 Be 0.000 0.000 0.499
# Total magnetic moment   0.02 μB per formula unit
# Symmetry   P4mm (99)
# Energy   -6.852 eV per atom


No. 8
# PBE PmBeIr, optimized geometry
data_PmBeIr
_space_group_name_H-M_alt 'P 1'
_space_group_IT_number 1
_space_group_name_Hall 'P 1'
_cell_length_a 4.502
_cell_length_b 4.502
_cell_length_c 4.502
_cell_angle_alpha 60.00
_cell_angle_beta 60.00
_cell_angle_gamma 60.00
loop_
_atom_site_label
_atom_site_type_symbol
_atom_site_fract_x
_atom_site_fract_y
_atom_site_fract_z
Be1 Be 0.750 0.750 0.750
Ir1 Ir 0.000 0.000 0.000
Pm1 Pm 0.250 0.250 0.250
# E above lowest polymorph   557 meV per atom
# Total magnetic moment   0.01 μB per formula unit
# Symmetry   F-43m (216)
# Energy   -5.811 eV per atom


No. 9
# PBE PmBeIr, optimized geometry
data_PmBeIr
_space_group_name_H-M_alt 'P 1'
_space_group_IT_number 1
_space_group_name_Hall 'P 1'
_cell_length_a 3.955
_cell_length_b 3.955
_cell_length_c 4.156
_cell_angle_alpha 90.00
_cell_angle_beta 90.00
_cell_angle_gamma 120.00
loop_
_atom_site_label
_atom_site_type_symbol
_atom_site_fract_x
_atom_site_fract_y
_atom_site_fract_z
Ir1 Ir 0.667 0.333 0.500
Be1 Be 0.000 0.000 0.500
Pm1 Pm 0.333 0.667 0.000
# E above lowest polymorph   0 meV per atom
# Total magnetic moment   0.00 μB per formula unit
# Symmetry   P-6m2 (187)
# Energy   -6.369 eV per atom


No. 10
# PBE PmBeIr, optimized geometry
data_PmBeIr
_space_group_name_H-M_alt 'P 1'
_space_group_IT_number 1
_space_group_name_Hall 'P 1'
_cell_length_a 4.307
_cell_length_b 4.307
_cell_length_c 4.307
_cell_angle_alpha 60.00
_cell_angle_beta 60.00
_cell_angle_gamma 60.00
loop_
_atom_site_label
_atom_site_type_symbol
_atom_site_fract_x
_atom_site_fract_y
_atom_site_fract_z
Ir1 Ir 0.250 0.250 0.250
Be1 Be 0.000 0.000 0.000
Pm1 Pm 0.750 0.750 0.750
# E above lowest polymorph   474 meV per atom
# Total magnetic moment   0.00 μB per formula unit
# Symmetry   F-43m (216)
# Energy   -5.895 eV per atom


No. 11
# PBE PmBeIr, optimized geometry
data_PmBeIr
_space_group_name_H-M_alt 'P 1'
_space_group_IT_number 1
_space_group_name_Hall 'P 1'
_cell_length_a 4.600
_cell_length_b 4.600
_cell_length_c 4.600
_cell_angle_alpha 60.00
_cell_angle_beta 60.00
_cell_angle_gamma 60.00
loop_
_atom_site_label
_atom_site_type_symbol
_atom_site_fract_x
_atom_site_fract_y
_atom_site_fract_z
Ir1 Ir 0.750 0.750 0.750
Pm1 Pm 0.000 0.000 0.000
Be1 Be 0.250 0.250 0.250
# E above lowest polymorph   1257 meV per atom
# Total magnetic moment   0.00 μB per formula unit
# Symmetry   F-43m (216)
# Energy   -5.112 eV per atom


No. 12
# PBE PrBeIr, optimized geometry
data_PrBeIr
_space_group_name_H-M_alt 'P 1'
_space_group_IT_number 1
_space_group_name_Hall 'P 1'
_cell_length_a 4.556
_cell_length_b 4.556
_cell_length_c 4.556
_cell_angle_alpha 60.00
_cell_angle_beta 60.00
_cell_angle_gamma 60.00
loop_
_atom_site_label
_atom_site_type_symbol
_atom_site_fract_x
_atom_site_fract_y
_atom_site_fract_z
Be1 Be 0.750 0.750 0.750
Pr1 Pr 0.250 0.250 0.250
Ir1 Ir 0.000 0.000 0.000
# E above lowest polymorph   72 meV per atom
# Total magnetic moment   0.00 μB per formula unit
# Symmetry   F-43m (216)
# Energy   -5.746 eV per atom


No. 13
# PBE PrBeIr, optimized geometry
data_PrBeIr
_space_group_name_H-M_alt 'P 1'
_space_group_IT_number 1
_space_group_name_Hall 'P 1'
_cell_length_a 4.664
_cell_length_b 4.664
_cell_length_c 4.664
_cell_angle_alpha 60.00
_cell_angle_beta 60.00
_cell_angle_gamma 60.00
loop_
_atom_site_label
_atom_site_type_symbol
_atom_site_fract_x
_atom_site_fract_y
_atom_site_fract_z
Ir1 Ir 0.750 0.750 0.750
Be1 Be 0.250 0.250 0.250
Pr1 Pr 0.000 0.000 0.000
# E above lowest polymorph   773 meV per atom
# Total magnetic moment   0.00 μB per formula unit
# Symmetry   F-43m (216)
# Energy   -5.045 eV per atom